Entry 1:
# La3RuPb PBE optimized geometry
# - energy relative to the elements (eV/atom) = -0.221
# - excess energy over the best structure of this formula in the dataset (meV/atom) = 225
data_La3RuPb
_cell_length_a 7.665
_cell_length_b 9.357
_cell_length_c 8.870
_cell_angle_alpha 90.00
_cell_angle_beta 90.00
_cell_angle_gamma 90.00
_space_group_name_H-M_alt 'P n m a'
_space_group_IT_number 62
loop_
_space_group_symop_operation_xyz
'x,y,z'
'-x,-y,-z'
'-x+1/2,-y,z+1/2'
'x+1/2,y,-z+1/2'
'x+1/2,-y+1/2,-z+1/2'
'-x+1/2,y+1/2,z+1/2'
'-x,y+1/2,-z'
'x,-y+1/2,z'
loop_
_atom_site_label
_atom_site_fract_x
_atom_site_fract_y
_atom_site_fract_z
La1 0.115 0.069 0.151
La2 0.175 0.250 0.757
Ru1 0.108 0.750 0.018
Pb1 0.000 0.000 0.500

---

Entry 2:
# La8Ru2Pb PBE optimized geometry
# - energy relative to the elements (eV/atom) = -0.232
data_La8Ru2Pb
_cell_length_a 8.886
_cell_length_b 14.338
_cell_length_c 5.605
_cell_angle_alpha 90.00
_cell_angle_beta 102.42
_cell_angle_gamma 90.00
_space_group_name_H-M_alt 'C 1 2/m 1'
_space_group_IT_number 12
loop_
_space_group_symop_operation_xyz
'x,y,z'
'-x,-y,-z'
'-x,y,-z'
'x,-y,z'
'x+1/2,y+1/2,z'
'-x+1/2,-y+1/2,-z'
'-x+1/2,y+1/2,-z'
'x+1/2,-y+1/2,z'
loop_
_atom_site_label
_atom_site_fract_x
_atom_site_fract_y
_atom_site_fract_z
La1 0.000 0.249 0.000
La2 0.096 0.000 0.795
La3 0.204 0.374 0.550
Ru1 0.000 0.209 0.500
Pb1 0.000 0.500 0.000

---

Entry 3:
# LaRu4Pb PBE optimized geometry
# - energy relative to the elements (eV/atom) = 0.175
data_LaRu4Pb
_cell_length_a 7.629
_cell_length_b 7.629
_cell_length_c 7.629
_cell_angle_alpha 90.00
_cell_angle_beta 90.00
_cell_angle_gamma 90.00
_space_group_name_H-M_alt 'F -4 3 m'
_space_group_IT_number 216
_space_group_name_Hall 'F -4 2 3'
loop_
_atom_site_label
_atom_site_fract_x
_atom_site_fract_y
_atom_site_fract_z
La1 0.000 0.000 0.000
Ru1 0.124 0.124 0.376
Pb1 0.250 0.250 0.750

---

Entry 4:
# La3RuPb PBE optimized geometry
# - energy relative to the elements (eV/atom) = -0.295
# - excess energy over the best structure of this formula in the dataset (meV/atom) = 150
data_La3RuPb
_cell_length_a 8.8471
_cell_length_b 8.8471
_cell_length_c 13.1727
_cell_angle_alpha 90.00
_cell_angle_beta 90.00
_cell_angle_gamma 120.00
_space_group_name_H-M_alt 'R -3'
_space_group_IT_number 148
_space_group_name_Hall '-R 3'
loop_
_atom_site_label
_atom_site_fract_x
_atom_site_fract_y
_atom_site_fract_z
La1 0.0024 0.3058 0.0986
Ru1 0.0000 0.0000 0.1031
Pb1 0.0000 0.0000 0.3299

---

Entry 5:
# La2RuPb PBE optimized geometry
# - energy relative to the elements (eV/atom) = -0.194
data_La2RuPb
_cell_length_a 6.692
_cell_length_b 6.503
_cell_length_c 11.913
_cell_angle_alpha 90.00
_cell_angle_beta 105.75
_cell_angle_gamma 90.00
_space_group_name_H-M_alt 'P 1 2/c 1'
_space_group_IT_number 13
loop_
_space_group_symop_operation_xyz
'x,y,z'
'-x,-y,-z'
'-x,y,-z+1/2'
'x,-y,z+1/2'
loop_
_atom_site_label
_atom_site_fract_x
_atom_site_fract_y
_atom_site_fract_z
La1 0.042 0.250 0.087
La2 0.345 0.249 0.864
Ru1 0.026 0.250 0.630
Pb1 0.427 0.251 0.356

---

Entry 6:
# LaRuPb2 PBE optimized geometry
# - energy relative to the elements (eV/atom) = -0.070
data_LaRuPb2
_cell_length_a 3.474
_cell_length_b 5.453
_cell_length_c 10.780
_cell_angle_alpha 90.00
_cell_angle_beta 90.00
_cell_angle_gamma 90.00
_space_group_name_H-M_alt 'I m m m'
_space_group_IT_number 71
_space_group_name_Hall '-I 2 2'
loop_
_atom_site_label
_atom_site_fract_x
_atom_site_fract_y
_atom_site_fract_z
La1 0.000 0.000 0.000
Ru1 0.000 0.000 0.500
Pb1 0.000 0.500 0.209

---

Entry 7:
# La6Ru2Pb PBE optimized geometry
# - energy relative to the elements (eV/atom) = -0.327
# - excess energy over the best structure of this formula in the dataset (meV/atom) = 18
data_La6Ru2Pb
_cell_length_a 11.416
_cell_length_b 4.987
_cell_length_c 9.469
_cell_angle_alpha 90.00
_cell_angle_beta 95.49
_cell_angle_gamma 90.00
_space_group_name_H-M_alt 'C 1 2/m 1'
_space_group_IT_number 12
loop_
_space_group_symop_operation_xyz
'x,y,z'
'-x,-y,-z'
'-x,y,-z'
'x,-y,z'
'x+1/2,y+1/2,z'
'-x+1/2,-y+1/2,-z'
'-x+1/2,y+1/2,-z'
'x+1/2,-y+1/2,z'
loop_
_atom_site_label
_atom_site_fract_x
_atom_site_fract_y
_atom_site_fract_z
La1 0.097 0.000 0.363
La2 0.105 0.500 0.676
La3 0.204 0.500 0.112
Ru1 0.241 0.500 0.378
Pb1 0.000 0.000 0.000

---

Entry 8:
# La4RuPb2 PBE optimized geometry
# - energy relative to the elements (eV/atom) = -0.446
# - excess energy over the best structure of this formula in the dataset (meV/atom) = 55
data_La4RuPb2
_cell_length_a 5.229
_cell_length_b 5.229
_cell_length_c 17.518
_cell_angle_alpha 90.00
_cell_angle_beta 90.00
_cell_angle_gamma 90.00
_space_group_name_H-M_alt 'I 4/m m m'
_space_group_IT_number 139
_space_group_name_Hall '-I 4 2'
loop_
_atom_site_label
_atom_site_fract_x
_atom_site_fract_y
_atom_site_fract_z
La1 0.000 0.000 0.175
La2 0.000 0.500 0.000
Ru1 0.000 0.000 0.000
Pb1 0.000 0.000 0.361

---

Entry 9:
# La3RuPb PBE optimized geometry
# - energy relative to the elements (eV/atom) = -0.339
# - excess energy over the best structure of this formula in the dataset (meV/atom) = 106
data_La3RuPb
_cell_length_a 8.782
_cell_length_b 7.064
_cell_length_c 12.002
_cell_angle_alpha 90.00
_cell_angle_beta 125.54
_cell_angle_gamma 90.00
_space_group_name_H-M_alt 'P 1 21/c 1'
_space_group_IT_number 14
loop_
_space_group_symop_operation_xyz
'x,y,z'
'-x,-y,-z'
'-x,y+1/2,-z+1/2'
'x,-y+1/2,z+1/2'
loop_
_atom_site_label
_atom_site_fract_x
_atom_site_fract_y
_atom_site_fract_z
La1 0.160 0.060 0.177
La2 0.201 0.587 0.259
La3 0.331 0.136 0.539
Ru1 0.046 0.678 0.965
Pb1 0.422 0.674 0.601

---

Entry 10:
# La3RuPb PBE optimized geometry
# - energy relative to the elements (eV/atom) = -0.294
# - excess energy over the best structure of this formula in the dataset (meV/atom) = 151
data_La3RuPb
_cell_length_a 5.058
_cell_length_b 14.377
_cell_length_c 8.801
_cell_angle_alpha 90.00
_cell_angle_beta 90.00
_cell_angle_gamma 90.00
_space_group_name_H-M_alt 'C m c m'
_space_group_IT_number 63
_space_group_name_Hall '-C 2c 2'
loop_
_atom_site_label
_atom_site_fract_x
_atom_site_fract_y
_atom_site_fract_z
La1 0.000 0.042 0.250
La2 0.000 0.353 0.014
Ru1 0.000 0.213 0.250
Pb1 0.000 0.191 0.750

---

Entry 11:
# LaRu3Pb PBE optimized geometry
# - energy relative to the elements (eV/atom) = 1.223
# - excess energy over the best structure of this formula in the dataset (meV/atom) = 0
data_LaRu3Pb
_cell_length_a 4.971
_cell_length_b 4.971
_cell_length_c 4.971
_cell_angle_alpha 90.00
_cell_angle_beta 90.00
_cell_angle_gamma 90.00
_space_group_name_H-M_alt 'P m -3 m'
_space_group_IT_number 221
_space_group_name_Hall '-P 4 2 3'
loop_
_atom_site_label
_atom_site_fract_x
_atom_site_fract_y
_atom_site_fract_z
La1 0.000 0.000 0.000
Ru1 0.000 0.500 0.500
Pb1 0.500 0.500 0.500

---

Entry 12:
# La3RuPb PBE optimized geometry
# - energy relative to the elements (eV/atom) = 0.134
# - excess energy over the best structure of this formula in the dataset (meV/atom) = 579
data_La3RuPb
_cell_length_a 5.1686
_cell_length_b 5.1686
_cell_length_c 15.8189
_cell_angle_alpha 90.00
_cell_angle_beta 90.00
_cell_angle_gamma 120.00
_space_group_name_H-M_alt 'P 63/m m c'
_space_group_IT_number 194
_space_group_name_Hall '-P 6c 2c'
loop_
_atom_site_label
_atom_site_fract_x
_atom_site_fract_y
_atom_site_fract_z
La1 0.0000 0.0000 0.2500
La2 0.3333 0.6667 0.0540
Ru1 0.0000 0.0000 0.0000
Pb1 0.3333 0.6667 0.2500

---

Number 1: E -115.48 eV for the cell shown, V 159 Å³/f.u.. Number 2: E -128.46 eV for the cell shown, V 349 Å³/f.u.. Number 3: E -178.76 eV for the cell shown, V 111 Å³/f.u.. Number 4: E -175.45 eV for the cell shown, V 149 Å³/f.u.. Number 5: E -94.45 eV for the cell shown, V 125 Å³/f.u.. Number 6: E -43.80 eV for the cell shown, V 102 Å³/f.u.. Number 7: E -109.54 eV for the cell shown, V 268 Å³/f.u.. Number 8: E -79.04 eV for the cell shown, V 239 Å³/f.u.. Number 9: E -117.85 eV for the cell shown, V 151 Å³/f.u.. Number 10: E -116.95 eV for the cell shown, V 160 Å³/f.u.. Number 11: E -30.35 eV for the cell shown, V 123 Å³/f.u.. Number 12: E -54.20 eV for the cell shown, V 183 Å³/f.u..